A relaxed structure of MnCd2P, computed with PBE.

The structure in extended XYZ format:
```
4
Lattice="3.008 0.000 0.000 0.000 3.008 0.000 0.000 0.000 7.398" Properties=species:S:1:pos:R:3 pbc="T T T"
Cd 0.000 0.000 7.158
Cd 1.504 1.504 2.135
Mn 0.000 0.000 4.172
P 1.504 1.504 5.030
```

Calculated values
Space-group type: P4mm
Formation energy: 0.025 eV per atom
Density: 7.71 g/cm3